Crystalline Mg2AlFe at its relaxed geometry, computed with PBE.

Summary:
- electronic total energy (eV/atom) = -3.745
- formation energy from the elements (eV per formula unit) = 0.41
- space-group type = No. 6
- D(E_F) (states/eV/f.u.) = 3.14

Cell: 2.894 4.367 5.583 Å, 90.00 104.96 90.00°
Positions (direct):
Mg 0.000 0.000 0.000
Mg 0.341 0.500 0.686
Al 0.621 0.500 0.240
Fe 0.729 0.000 0.463

Crystalline TiSiO3 at its relaxed geometry, computed with PBE.

Summary:
- electronic total energy (eV/atom) = -7.589
- space-group type = No. 221
- ΔE_f (raw) (eV/atom) = -1.951
- D(E_F) (states/eV/f.u.) = 3.41

Cell: 3.523 3.523 3.523 Å, 90.00 90.00 90.00°
Positions (direct):
Ti 0.000 0.000 0.000
Si 0.500 0.500 0.500
O 0.000 0.500 0.500
O 0.500 0.000 0.500
O 0.500 0.500 0.000

Crystalline Tb11O20 at its relaxed geometry, computed with PBE.

Summary:
- electronic total energy (eV/atom) = -7.849
- space-group type = No. 2
- ΔE_f (raw) (eV/atom) = -3.007
- D(E_F) (states/eV/f.u.) = 6.47

Cell: 6.596 6.649 10.336 Å, 93.88 93.33 99.79°
Positions (direct):
Tb 0.000 0.000 0.000
Tb 0.128 0.543 0.170
Tb 0.180 0.099 0.366
Tb 0.278 0.629 0.521
Tb 0.371 0.145 0.723
Tb 0.467 0.732 0.925
Tb 0.533 0.268 0.075
Tb 0.629 0.855 0.277
Tb 0.722 0.371 0.479
Tb 0.820 0.901 0.634
Tb 0.872 0.457 0.830
O 0.028 0.423 0.369
O 0.044 0.172 0.797
O 0.121 0.669 0.965
O 0.149 0.927 0.571
O 0.211 0.215 0.164
O 0.286 0.790 0.332
O 0.330 0.035 0.929
O 0.368 0.315 0.536
O 0.465 0.817 0.706
O 0.470 0.590 0.128
O 0.530 0.410 0.872
O 0.535 0.183 0.294
O 0.632 0.685 0.464
O 0.670 0.965 0.071
O 0.714 0.210 0.668
O 0.789 0.785 0.836
O 0.851 0.073 0.429
O 0.879 0.331 0.035
O 0.956 0.828 0.203
O 0.972 0.577 0.631

Crystalline Ca2Al2GaIr5 at its relaxed geometry, computed with PBE.

Summary:
- electronic total energy (eV/atom) = -6.382
- formation energy from the elements (eV per formula unit) = -5.00
- space-group type = No. 127
- D(E_F) (states/eV/f.u.) = 3.47

Cell: 10.268 10.268 3.165 Å, 90.00 90.00 90.00°
Positions (direct):
Ca 0.173 0.327 0.000
Ca 0.327 0.827 0.000
Ca 0.673 0.173 0.000
Ca 0.827 0.673 0.000
Al 0.130 0.630 0.000
Al 0.370 0.130 0.000
Al 0.630 0.870 0.000
Al 0.870 0.370 0.000
Ga 0.000 0.000 0.000
Ga 0.500 0.500 0.000
Ir 0.000 0.500 0.500
Ir 0.062 0.803 0.500
Ir 0.197 0.062 0.500
Ir 0.303 0.562 0.500
Ir 0.438 0.303 0.500
Ir 0.500 0.000 0.500
Ir 0.562 0.697 0.500
Ir 0.697 0.438 0.500
Ir 0.803 0.938 0.500
Ir 0.938 0.197 0.500

Crystalline MnZn2Cr at its relaxed geometry, computed with PBE.

Summary:
- electronic total energy (eV/atom) = -5.083
- formation energy from the elements (eV per formula unit) = 1.01
- space-group type = No. 139
- D(E_F) (states/eV/f.u.) = 4.97

Cell: 4.620 4.620 4.620 Å, 132.13 132.13 70.02°
Positions (direct):
Mn 0.000 0.000 0.000
Zn 0.250 0.750 0.500
Zn 0.750 0.250 0.500
Cr 0.500 0.500 0.000

Crystalline PmPrNd3Mg at its relaxed geometry, computed with PBE.

Summary:
- electronic total energy (eV/atom) = -4.074
- formation energy from the elements (eV per formula unit) = 0.98
- space-group type = No. 12
- D(E_F) (states/eV/f.u.) = 7.86

Cell: 10.589 10.589 7.114 Å, 109.26 109.26 33.56°
Positions (direct):
Pm 0.177 0.177 0.427
Pm 0.823 0.823 0.573
Pr 0.198 0.198 0.948
Pr 0.802 0.802 0.052
Nd 0.030 0.030 0.780
Nd 0.355 0.355 0.344
Nd 0.358 0.358 0.869
Nd 0.642 0.642 0.131
Nd 0.645 0.645 0.656
Nd 0.970 0.970 0.220
Mg 0.493 0.493 0.735
Mg 0.507 0.507 0.265